Entry 1:
A plane-wave DFT calculation with GGA-PBE was carried out for crystalline YZrTe2I at its relaxed geometry.

Unit cell a=5.855 b=5.855 c=5.730 alpha=90.00 beta=90.00 gamma=90.00
Element x y z (fractional)
1 Zr 0.500 0.500 0.500
2 Y 0.000 0.000 0.000
3 Te 0.500 0.000 0.000
4 Te 0.000 0.500 0.000
5 I 0.000 0.000 0.500

Properties
Calculated volume in Å³ per cell: 196.4
Raw formation energy in eV per atom: 0.00
E_tot in eV per atom: -4.573
Energy relative to the lowest polymorph listed for this composition in kcal/mol of atoms: 6.77



Entry 2:
A plane-wave DFT calculation with GGA-PBE was carried out for crystalline YZrTeI2 at its relaxed geometry.

Unit cell a=5.611 b=5.611 c=5.711 alpha=90.00 beta=90.00 gamma=90.00
Element x y z (fractional)
1 I 0.000 0.500 0.000
2 I 0.500 0.000 0.000
3 Y 0.500 0.500 0.500
4 Zr 0.000 0.000 0.000
5 Te 0.000 0.000 0.500

Properties
Calculated volume in Å³ per cell: 179.8
Raw formation energy in eV per atom: -0.18
E_tot in eV per atom: -4.429
Energy relative to the lowest polymorph listed for this composition in kcal/mol of atoms: 0.00



Entry 3:
A plane-wave DFT calculation with GGA-PBE was carried out for crystalline ZnTe2I at its relaxed geometry.

Unit cell a=7.543 b=7.543 c=7.336 alpha=59.06 beta=59.06 gamma=90.00
Element x y z (fractional)
1 Te 0.375 0.443 0.750
2 Te 0.193 0.625 0.250
3 Te 0.875 0.807 0.750
4 Te 0.557 0.125 0.250
5 I 0.750 0.250 0.500
6 I 0.000 0.000 0.000
7 Zn 0.500 0.500 0.000
8 Zn 0.250 0.750 0.500

Properties
Calculated volume in Å³ per cell: 286.6
Raw formation energy in eV per atom: 0.16
E_tot in eV per atom: -2.116
Energy relative to the lowest polymorph listed for this composition in kcal/mol of atoms: 4.41



Entry 4:
A plane-wave DFT calculation with GGA-PBE was carried out for crystalline ZnTeI at its relaxed geometry.

Unit cell a=6.014 b=7.053 c=10.890 alpha=90.00 beta=103.91 gamma=90.00
Element x y z (fractional)
1 I 0.549 0.500 0.273
2 I 0.754 0.000 0.476
3 I 0.549 0.000 0.773
4 I 0.754 0.500 0.976
5 Te 0.913 0.500 0.666
6 Te 0.913 0.000 0.166
7 Te 0.213 0.500 0.497
8 Te 0.213 0.000 0.997
9 Zn 0.928 0.762 0.846
10 Zn 0.928 0.738 0.346
11 Zn 0.928 0.262 0.346
12 Zn 0.928 0.238 0.846

Properties
Calculated volume in Å³ per cell: 448.4
Raw formation energy in eV per atom: -0.34
E_tot in eV per atom: -2.326



Entry 5:
A plane-wave DFT calculation with GGA-PBE was carried out for crystalline ZnTeI at its relaxed geometry.

Unit cell a=5.793 b=6.409 c=6.793 alpha=62.29 beta=74.54 gamma=76.78
Element x y z (fractional)
1 Zn 0.347 0.564 0.207
2 Zn 0.039 0.291 0.948
3 Te 0.740 0.692 0.891
4 Te 0.928 0.846 0.139
5 I 0.438 0.431 0.630
6 I 0.222 0.137 0.328

Properties
Calculated volume in Å³ per cell: 213.6
Raw formation energy in eV per atom: -0.38
E_tot in eV per atom: -2.364



Entry 6:
A plane-wave DFT calculation with GGA-PBE was carried out for crystalline ZnTeI2 at its relaxed geometry.

Unit cell a=5.543 b=5.543 c=5.543 alpha=60.00 beta=60.00 gamma=60.00
Element x y z (fractional)
1 I 0.250 0.250 0.250
2 I 0.750 0.750 0.750
3 Zn 0.000 0.000 0.000
4 Te 0.500 0.500 0.500

Properties
Calculated volume in Å³ per cell: 120.4
Raw formation energy in eV per atom: 0.44
E_tot in eV per atom: -1.438
Energy relative to the lowest polymorph listed for this composition in kcal/mol of atoms: 6.27



Entry 7:
A plane-wave DFT calculation with GGA-PBE was carried out for crystalline Zn2TeI8 at its relaxed geometry.

Unit cell a=7.123 b=9.103 c=9.103 alpha=61.58 beta=93.26 gamma=93.26
Element x y z (fractional)
1 Zn 0.423 0.167 0.167
2 Zn 0.577 0.833 0.833
3 I 0.201 0.836 0.836
4 I 0.738 0.143 0.697
5 I 0.262 0.857 0.303
6 I 0.383 0.327 0.327
7 I 0.262 0.303 0.857
8 I 0.738 0.697 0.143
9 I 0.617 0.673 0.673
10 I 0.799 0.164 0.164
11 Te 0.000 0.000 0.000

Properties
Calculated volume in Å³ per cell: 517.9
Raw formation energy in eV per atom: -0.33
E_tot in eV per atom: -1.975



Entry 8:
A plane-wave DFT calculation with GGA-PBE was carried out for crystalline ZnTeI2 at its relaxed geometry.

Unit cell a=8.393 b=8.393 c=7.013 alpha=53.25 beta=53.25 gamma=90.00
Element x y z (fractional)
1 I 0.875 0.803 0.750
2 I 0.553 0.125 0.250
3 I 0.375 0.447 0.750
4 I 0.197 0.625 0.250
5 Te 0.750 0.250 0.500
6 Te 0.000 0.000 0.000
7 Zn 0.500 0.500 0.000
8 Zn 0.250 0.750 0.500

Properties
Calculated volume in Å³ per cell: 263.2
Raw formation energy in eV per atom: 0.17
E_tot in eV per atom: -1.709
Energy relative to the lowest polymorph listed for this composition in kcal/mol of atoms: 0.00



Entry 9:
A plane-wave DFT calculation with GGA-PBE was carried out for crystalline ZnTeI3 at its relaxed geometry.

Unit cell a=6.048 b=6.048 c=6.048 alpha=90.00 beta=90.00 gamma=90.00
Element x y z (fractional)
1 Zn 0.500 0.500 0.500
2 I 0.000 0.500 0.000
3 I 0.500 0.000 0.000
4 I 0.000 0.000 0.500
5 Te 0.000 0.000 0.000

Properties
Calculated volume in Å³ per cell: 221.3
Raw formation energy in eV per atom: 0.15
E_tot in eV per atom: -1.659
Energy relative to the lowest polymorph listed for this composition in kcal/mol of atoms: 0.00



Entry 10:
A plane-wave DFT calculation with GGA-PBE was carried out for crystalline ZnTeI at its relaxed geometry.

Unit cell a=4.376 b=4.462 c=6.575 alpha=89.45 beta=70.73 gamma=60.69
Element x y z (fractional)
1 I 0.732 0.309 0.156
2 Te 0.246 0.799 0.638
3 Zn 0.819 0.518 0.774

Properties
Calculated volume in Å³ per cell: 103.8
Raw formation energy in eV per atom: -0.28
E_tot in eV per atom: -2.268



Entry 11:
A plane-wave DFT calculation with GGA-PBE was carried out for crystalline ZnTeI3 at its relaxed geometry.

Unit cell a=5.561 b=5.561 c=5.561 alpha=90.00 beta=90.00 gamma=90.00
Element x y z (fractional)
1 I 0.000 0.000 0.500
2 I 0.500 0.000 0.000
3 I 0.000 0.500 0.000
4 Zn 0.000 0.000 0.000
5 Te 0.500 0.500 0.500

Properties
Calculated volume in Å³ per cell: 172.0
Raw formation energy in eV per atom: 0.20
E_tot in eV per atom: -1.617
Energy relative to the lowest polymorph listed for this composition in kcal/mol of atoms: 0.97



Entry 12:
A plane-wave DFT calculation with GGA-PBE was carried out for crystalline ZnTeI at its relaxed geometry.

Unit cell a=3.476 b=4.256 c=7.666 alpha=89.57 beta=89.78 gamma=89.98
Element x y z (fractional)
1 Zn 0.458 0.810 0.544
2 I 0.960 0.814 0.277
3 Te 0.456 0.307 0.748

Properties
Calculated volume in Å³ per cell: 113.4
Raw formation energy in eV per atom: -0.25
E_tot in eV per atom: -2.238



Entry 13:
A plane-wave DFT calculation with GGA-PBE was carried out for crystalline Zn2TeI6 at its relaxed geometry.

Unit cell a=8.031 b=11.418 c=11.418 alpha=101.71 beta=110.59 gamma=110.59
Element x y z (fractional)
1 Zn 0.185 0.325 0.176
2 Zn 0.315 0.824 0.675
3 Zn 0.815 0.675 0.824
4 Zn 0.685 0.176 0.325
5 I 0.038 0.689 0.420
6 I 0.462 0.580 0.311
7 I 0.429 0.080 0.811
8 I 0.353 0.193 0.307
9 I 0.853 0.307 0.193
10 I 0.962 0.311 0.580
11 I 0.929 0.811 0.080
12 I 0.538 0.420 0.689
13 I 0.071 0.189 0.920
14 I 0.571 0.920 0.189
15 I 0.647 0.807 0.693
16 I 0.147 0.693 0.807
17 Te 0.750 0.250 0.750
18 Te 0.250 0.750 0.250

Properties
Calculated volume in Å³ per cell: 851.5
Raw formation energy in eV per atom: -0.32
E_tot in eV per atom: -1.982



Entry 14:
A plane-wave DFT calculation with GGA-PBE was carried out for crystalline Zn3TeI at its relaxed geometry.

Unit cell a=5.492 b=5.492 c=5.492 alpha=90.00 beta=90.00 gamma=90.00
Element x y z (fractional)
1 Zn 0.000 0.000 0.500
2 Zn 0.000 0.500 0.000
3 Zn 0.500 0.000 0.000
4 I 0.500 0.500 0.500
5 Te 0.000 0.000 0.000

Properties
Calculated volume in Å³ per cell: 165.6
Raw formation energy in eV per atom: 0.18
E_tot in eV per atom: -1.524
Energy relative to the lowest polymorph listed for this composition in kcal/mol of atoms: 0.00



Entry 15:
A plane-wave DFT calculation with GGA-PBE was carried out for crystalline ZnTeI at its relaxed geometry.

Unit cell a=4.323 b=7.017 c=7.601 alpha=76.28 beta=89.95 gamma=89.18
Element x y z (fractional)
1 Zn 0.502 0.412 0.805
2 Zn 0.498 0.588 0.195
3 Te 0.995 0.677 0.369
4 Te 0.005 0.323 0.631
5 I 0.494 0.783 0.845
6 I 0.506 0.217 0.155

Properties
Calculated volume in Å³ per cell: 224.0
Raw formation energy in eV per atom: -0.41
E_tot in eV per atom: -2.403



Entry 16:
A plane-wave DFT calculation with GGA-PBE was carried out for crystalline ZnTeI at its relaxed geometry.

Unit cell a=4.325 b=7.125 c=7.611 alpha=98.02 beta=90.00 gamma=107.67
Element x y z (fractional)
1 Te 0.409 0.818 0.886
2 Te 0.591 0.182 0.114
3 I 0.858 0.717 0.368
4 I 0.142 0.283 0.632
5 Zn 0.953 0.907 0.704
6 Zn 0.047 0.093 0.296

Properties
Calculated volume in Å³ per cell: 221.1
Raw formation energy in eV per atom: -0.42
E_tot in eV per atom: -2.405



Entry 17:
A plane-wave DFT calculation with GGA-PBE was carried out for crystalline ZnTeI at its relaxed geometry.

Unit cell a=4.374 b=6.459 c=8.591 alpha=101.35 beta=96.26 gamma=100.12
Element x y z (fractional)
1 Zn 0.994 0.077 0.253
2 Zn 0.867 0.050 0.765
3 I 0.989 0.335 0.052
4 I 0.292 0.796 0.774
5 Te 0.786 0.251 0.532
6 Te 0.442 0.875 0.312

Properties
Calculated volume in Å³ per cell: 231.7
Raw formation energy in eV per atom: -0.35
E_tot in eV per atom: -2.337



Entry 18:
A plane-wave DFT calculation with GGA-PBE was carried out for crystalline ZnTe2I2 at its relaxed geometry.

Unit cell a=7.602 b=7.602 c=5.383 alpha=90.00 beta=90.00 gamma=90.00
Element x y z (fractional)
1 Te 0.149 0.351 0.000
2 Te 0.649 0.149 0.000
3 Te 0.851 0.649 0.000
4 Te 0.351 0.851 0.000
5 I 0.324 0.176 0.500
6 I 0.824 0.324 0.500
7 I 0.676 0.824 0.500
8 I 0.176 0.676 0.500
9 Zn 0.500 0.500 0.000
10 Zn 0.000 0.000 0.000

Properties
Calculated volume in Å³ per cell: 311.1
Raw formation energy in eV per atom: 0.19
E_tot in eV per atom: -1.940
Energy relative to the lowest polymorph listed for this composition in kcal/mol of atoms: 3.27



Entry 19:
A plane-wave DFT calculation with GGA-PBE was carried out for crystalline ZnTeI at its relaxed geometry.

Unit cell a=6.617 b=6.999 c=7.169 alpha=117.28 beta=103.40 gamma=90.60
Element x y z (fractional)
1 I 0.437 0.307 0.341
2 I 0.970 0.324 0.846
3 Te 0.331 0.662 0.974
4 Te 0.597 0.990 0.760
5 Zn 0.475 0.697 0.360
6 Zn 0.504 0.338 0.734

Properties
Calculated volume in Å³ per cell: 284.5
Raw formation energy in eV per atom: -0.26
E_tot in eV per atom: -2.248



Entry 20:
A plane-wave DFT calculation with GGA-PBE was carried out for crystalline ZnTe2I at its relaxed geometry.

Unit cell a=9.211 b=9.211 c=9.211 alpha=26.26 beta=26.26 gamma=26.26
Element x y z (fractional)
1 Te 0.111 0.111 0.111
2 Te 0.889 0.889 0.889
3 Zn 0.500 0.500 0.500
4 I 0.000 0.000 0.000

Properties
Calculated volume in Å³ per cell: 134.8
Raw formation energy in eV per atom: -0.03
E_tot in eV per atom: -2.307
Energy relative to the lowest polymorph listed for this composition in kcal/mol of atoms: 0.00